[1]
Entry from the Alexandria database: a geometry-optimized Mn2BeZn structure (PBE). Values from VASP.

```
&SYSTEM
  ibrav = 0, nat = 4, ntyp = 3
/
ATOMIC_SPECIES
Be 9.01 Be.upf
Zn 65.41 Zn.upf
Mn 54.94 Mn.upf
ATOMIC_POSITIONS crystal
Be 0.500 0.643 0.775
Zn 0.000 0.612 0.496
Mn 0.000 0.073 0.987
Mn 0.500 0.172 0.241
CELL_PARAMETERS angstrom
3.942 0.000 0.000
0.000 2.563 -0.117
0.000 0.507 4.481
```

Computed properties:
SG: Pm (6)
relative energy among the computed polymorphs: 94 meV/atom
crystal system: monoclinic
E_form: 0.07 eV/atom

=====

[2]
Entry from the Alexandria database: a geometry-optimized MnBeZn structure (PBE). Values from VASP.

```
&SYSTEM
  ibrav = 0, nat = 3, ntyp = 3
/
ATOMIC_SPECIES
Be 9.01 Be.upf
Zn 65.41 Zn.upf
Mn 54.94 Mn.upf
ATOMIC_POSITIONS crystal
Be 0.000 0.000 0.833
Zn 0.667 0.333 0.834
Mn 0.333 0.667 0.333
CELL_PARAMETERS angstrom
3.917 0.000 0.000
-1.958 3.392 0.000
0.000 0.000 2.637
```

Computed properties:
SG: P-6m2 (187)
relative energy among the computed polymorphs: 8 meV/atom
crystal system: hexagonal
E_form: 0.04 eV/atom

=====

[3]
Entry from the Alexandria database: a geometry-optimized Mn2BeZn structure (PBE). Values from VASP.

```
&SYSTEM
  ibrav = 0, nat = 4, ntyp = 3
/
ATOMIC_SPECIES
Be 9.01 Be.upf
Zn 65.41 Zn.upf
Mn 54.94 Mn.upf
ATOMIC_POSITIONS crystal
Be 0.000 0.500 0.500
Zn 0.500 0.000 0.500
Mn 0.000 0.000 0.000
Mn 0.500 0.500 0.000
CELL_PARAMETERS angstrom
2.892 0.000 0.000
0.000 3.862 0.000
0.000 0.000 3.990
```

Computed properties:
SG: Pmmm (47)
relative energy among the computed polymorphs: 184 meV/atom
crystal system: orthorhombic
E_form: 0.16 eV/atom